Density functional theory data (PBE) for a relaxed structure of Sm2Al3Hg.

Output
Space-group type ... Imm2 (44)
Density ... 6637 kg/m³
ΔE to the lowest computed polymorph ... 54 meV per atom
Formation energy from the elements ... -0.42 eV per atom
Density of states at the Fermi level ... 4.61 states/eV/f.u.

Cell and atoms, written as extended XYZ:
```
6
Lattice="-2.0813 2.2286 7.8519 2.0813 -2.2286 7.8519 2.0813 2.2286 -7.8519" Properties=species:S:1:pos:R:3 pbc="T T T"
Sm 0.0000 0.0000 0.0000
Sm 0.0000 2.2286 4.2657
Al 2.0813 0.0000 2.8335
Al 2.0813 0.0000 5.3764
Al 0.0000 0.0000 6.7540
Hg 0.0000 0.0000 9.3584
```